Entry 1:
The following is a GGA-PBE calculation of an optimized crystal structure of Dy2AlSiGe, from the Alexandria database.

Unit cell a=4.028 b=7.246 c=8.346 alpha=108.44 beta=90.00 gamma=90.00
Fractional coordinates of all 10 atoms:
1 Al 0.250 0.515 0.714
2 Al 0.750 0.485 0.286
3 Ge 0.250 0.860 0.837
4 Ge 0.750 0.140 0.163
5 Dy 0.250 0.151 0.406
6 Dy 0.750 0.849 0.594
7 Dy 0.750 0.734 0.034
8 Dy 0.250 0.266 0.966
9 Si 0.250 0.704 0.298
10 Si 0.750 0.296 0.702

Computed properties:
* volume: 231.1 Å³/cell
* VASP energy: -51.1 eV/cell
* total moment: 0.00 Bohr magnetons per cell
* SG: P2_1/m (11)

=====

Entry 2:
The following is a GGA-PBE calculation of an optimized crystal structure of Sb2IBrO, from the Alexandria database.

Unit cell a=5.601 b=5.601 c=5.639 alpha=90.00 beta=90.00 gamma=90.00
Fractional coordinates of all 5 atoms:
1 Sb 0.000 0.500 0.000
2 Sb 0.500 0.000 0.000
3 O 0.500 0.500 0.500
4 I 0.000 0.000 0.500
5 Br 0.000 0.000 0.000

Computed properties:
* ΔE to the lowest computed polymorph: 1154 meV per atom
* volume: 176.9 Å³/cell
* VASP energy: -9.5 eV/cell
* total moment: 0.00 Bohr magnetons per cell
* SG: P4/mmm (123)